Record 1
The following is a DFT calculation (PBEsol) of crystalline Ta2CdAu at its relaxed geometry.

Properties
Energy relative to the elements   -36 meV/atom
N(E_F)   2.408 states/eV/cell
Energy   -7.592 eV per atom
Space-group type   Cmm2
Size of the total moment   0.0 μB/cell

Cell and atoms, written as POSCAR:
```
Ta2CdAu
1.0
1.790 -2.192 0.000
1.790 2.192 0.000
0.000 0.000 9.065
Ta Cd Au
2 1 1
Cartesian
0.000 0.000 0.000
1.790 0.000 2.209
0.000 0.000 4.597
1.790 0.000 6.901
```



Record 2
The following is a DFT calculation (PBEsol) of crystalline Ta2CdAu at its relaxed geometry.

Properties
Energy relative to the elements   172 meV/atom
N(E_F)   3.396 states/eV/cell
Energy   -7.383 eV per atom
Space-group type   R-3m
Size of the total moment   0.0 μB/cell

Cell and atoms, written as POSCAR:
```
Ta2CdAu
1.0
1.444 0.833 9.849
-1.444 0.833 9.849
0.000 -1.667 9.849
Ta Cd Au
2 1 1
Cartesian
0.000 0.000 7.297
0.000 0.000 22.251
0.000 0.000 0.000
0.000 0.000 14.774
```



Record 3
The following is a DFT calculation (PBEsol) of crystalline Ta2CdAu at its relaxed geometry.

Properties
Energy relative to the elements   248 meV/atom
N(E_F)   5.810 states/eV/cell
Energy   -7.308 eV per atom
Space-group type   I-4m2
Size of the total moment   0.0 μB/cell

Cell and atoms, written as POSCAR:
```
Ta2CdAu
1.0
-2.024 2.024 4.317
2.024 -2.024 4.317
2.024 2.024 -4.317
Ta Cd Au
2 1 1
Cartesian
0.000 0.000 0.000
0.000 2.024 2.158
2.024 0.000 2.158
0.000 0.000 4.317
```



Record 4
The following is a DFT calculation (PBEsol) of crystalline TaCd2Au at its relaxed geometry.

Properties
Offset from the most stable computed form   2.9 kJ per mole of atoms
Energy relative to the elements   101 meV/atom
N(E_F)   1.540 states/eV/cell
Energy   -4.616 eV per atom
Space-group type   Pm
Size of the total moment   0.0 μB/cell

Cell and atoms, written as POSCAR:
```
TaCd2Au
1.0
2.867 0.000 0.000
0.000 4.414 0.000
-1.422 0.000 5.817
Ta Cd Au
1 2 1
Cartesian
0.000 0.000 0.000
0.008 2.207 4.110
1.436 0.000 2.800
1.434 2.207 1.091
```



Record 5
The following is a DFT calculation (PBEsol) of crystalline TaCd2Au at its relaxed geometry.

Properties
Offset from the most stable computed form   33.5 kJ per mole of atoms
Energy relative to the elements   418 meV/atom
N(E_F)   2.320 states/eV/cell
Energy   -4.299 eV per atom
Space-group type   Fm-3m
Size of the total moment   0.0 μB/cell

Cell and atoms, written as POSCAR:
```
TaCd2Au
1.0
0.000 3.315 3.315
3.315 0.000 3.315
3.315 3.315 0.000
Ta Cd Au
1 2 1
Cartesian
0.000 0.000 0.000
1.658 1.658 1.658
4.973 4.973 4.973
3.315 3.315 3.315
```



Record 6
The following is a DFT calculation (PBEsol) of crystalline TaCd2Au at its relaxed geometry.

Properties
Offset from the most stable computed form   11.7 kJ per mole of atoms
Energy relative to the elements   192 meV/atom
N(E_F)   2.443 states/eV/cell
Energy   -4.525 eV per atom
Space-group type   P2/m
Size of the total moment   0.0 μB/cell

Cell and atoms, written as POSCAR:
```
TaCd2Au
1.0
2.854 0.000 0.000
0.000 4.685 0.000
-0.724 0.000 5.474
Ta Cd Au
1 2 1
Cartesian
0.000 0.000 0.000
0.449 2.342 4.108
1.681 2.342 1.365
1.065 0.000 2.737
```